Entry 1:
A relaxed structure of KBaRe2, computed with GGA-PBEsol.

a b c (Å): 4.1659 4.1659 28.1341
angles (deg): 90.00 90.00 120.00
Closest atoms and distances in Å follow each position.
Space group R3m (No. 160, hexagonal axes)
Asymmetric unit:
K  0.0000  0.0000  0.0000  6 Re 3.44-3.65
Ba  0.0000  0.0000  0.1767  6 Re 3.27-3.48
Re  0.0000  0.0000  0.4311  3 Re 2.42
Re  0.0000  0.0000  0.7539  3 Re 2.42

**Formation energy from the elements**: 736 meV/atom
**Magnetization**: 0.01 μB per cell
**Final energy**: -6.75 eV/atom
**Volume**: 35.2 A^3/atom

Entry 2:
A relaxed structure of ScTaFe2, computed with GGA-PBEsol.

a b c (Å): 6.0492 6.0492 6.0492
angles (deg): 90.00 90.00 90.00
Closest atoms and distances in Å follow each position.
Space group Fm-3m (No. 225)
Asymmetric unit:
Sc  0.0000  0.0000  0.0000  8 Fe 2.62
Ta  0.0000  0.0000  0.5000  8 Fe 2.62
Fe  0.2500  0.2500  0.2500  4 Ta 2.62, 4 Sc 2.62

**Polymorph energy (0 for the lowest one)**: 23 meV per atom
**Formation energy from the elements**: -218 meV/atom
**Magnetization**: 0.00 μB per cell
**Final energy**: -9.49 eV/atom
**Volume**: 13.8 A^3/atom

Entry 3:
A relaxed structure of FeCo5, computed with GGA-PBEsol.

a b c (Å): 4.2560 4.2560 3.9986
angles (deg): 90.00 90.00 120.00
Closest atoms and distances in Å follow each position.
Space group P-62m (No. 189)
Asymmetric unit:
Fe  0.0000  0.0000  0.0000  12 Co 2.46
Co  0.0000  0.3365  0.5000  10 Co 2.45-2.48, 2 Fe 2.46
Co  0.3333  0.6667  0.0000  9 Co 2.45-2.46, 3 Fe 2.46

**Formation energy from the elements**: 34 meV/atom
**Magnetization**: 10.21 μB per cell
**Final energy**: -7.91 eV/atom
**Volume**: 10.5 A^3/atom

Entry 4:
A relaxed structure of Tl2Hg2Sb, computed with GGA-PBEsol.

a b c (Å): 7.5646 7.5646 4.8010
angles (deg): 90.00 90.00 90.00
Closest atoms and distances in Å follow each position.
Space group P4/mbm (No. 127)
Asymmetric unit:
Tl  0.1734  0.3266  0.0000  6 Hg 3.16-3.36
Hg  0.1340  0.6340  0.5000  1 Hg 2.87, 2 Sb 2.95, 2 Tl 3.16
Sb  0.0000  0.0000  0.5000  4 Hg 2.95

**Polymorph energy (0 for the lowest one)**: 0 meV per atom
**Magnetization**: 0.00 μB per cell
**Final energy**: -2.17 eV/atom
**Volume**: 27.5 A^3/atom

Entry 5:
A relaxed structure of CdAs3, computed with GGA-PBEsol.

a b c (Å): 2.7427 3.8280 7.8636
angles (deg): 90.00 98.42 90.00
Closest atoms and distances in Å follow each position.
Space group P2/m (No. 10)
Asymmetric unit:
Cd  0.0000  0.0000  0.0000  2 Cd 2.74, 4 As 2.85
As  0.0000  0.0000  0.5000  6 As 2.68-2.74
As  0.1125  0.5000  0.7402  4 As 2.68-2.74, 2 Cd 2.85

**Polymorph energy (0 for the lowest one)**: 76 meV per atom
**Formation energy from the elements**: 111 meV/atom
**Magnetization**: 0.00 μB per cell
**Final energy**: -4.02 eV/atom
**Volume**: 20.4 A^3/atom

Entry 6:
A relaxed structure of KAg2AsO4, computed with GGA-PBEsol.

a b c (Å): 5.8909 5.8909 6.9415
angles (deg): 90.00 90.00 90.00
Closest atoms and distances in Å follow each position.
Space group I-42m (No. 121)
Asymmetric unit:
K  0.0000  0.0000  0.0000  8 O 2.86-2.92
Ag  0.0000  0.5000  0.2500  4 O 2.31
As  0.0000  0.0000  0.5000  4 O 1.73
O  0.1703  0.1703  0.3581  1 As 1.73

**Magnetization**: 0.00 μB per cell
**Final energy**: -5.20 eV/atom
**Volume**: 15.1 A^3/atom

Entry 7:
A relaxed structure of TcTeMo, computed with GGA-PBEsol.

a b c (Å): 3.0639 4.1210 7.9207
angles (deg): 90.00 90.00 90.00
Closest atoms and distances in Å follow each position.
Space group Imm2 (No. 44)
Asymmetric unit:
Tc  0.0000  0.0000  0.0000  5 Te 2.61-2.90, 5 Mo 2.69-2.87
Te  0.0000  0.0000  0.6704  5 Tc 2.61-2.90, 5 Mo 2.62-2.89
Mo  0.0000  0.0000  0.3392  5 Te 2.62-2.89, 5 Tc 2.69-2.87

**Polymorph energy (0 for the lowest one)**: 22 meV per atom
**Magnetization**: 0.00 μB per cell
**Final energy**: -8.44 eV/atom
**Volume**: 16.7 A^3/atom

Entry 8:
A relaxed structure of CaHfB2, computed with GGA-PBEsol.

a b c (Å): 6.0875 6.0875 6.0875
angles (deg): 90.00 90.00 90.00
Closest atoms and distances in Å follow each position.
Space group Fm-3m (No. 225)
Asymmetric unit:
Ca  0.0000  0.0000  0.0000  8 B 2.64
Hf  0.0000  0.0000  0.5000  8 B 2.64
B  0.2500  0.2500  0.2500  4 Hf 2.64, 4 Ca 2.64

**Polymorph energy (0 for the lowest one)**: 0 meV per atom
**Formation energy from the elements**: 483 meV/atom
**Magnetization**: 0.00 μB per cell
**Final energy**: -6.18 eV/atom
**Volume**: 14.1 A^3/atom

Entry 9:
A relaxed structure of CaV2O4, computed with GGA-PBEsol.

a b c (Å): 6.0010 6.0010 9.0865
angles (deg): 90.00 90.00 90.00
Closest atoms and distances in Å follow each position.
Space group I4_1/amd (No. 141, origin choice 2)
Asymmetric unit:
Ca  0.0000  0.2500  0.3750  4 O 2.16
V  0.0000  0.0000  0.0000  6 O 2.02-2.04
O  0.0000  0.0281  0.7765  3 V 2.02-2.04, 1 Ca 2.16

**Polymorph energy (0 for the lowest one)**: 165 meV per atom
**Magnetization**: 15.96 μB per cell
**Final energy**: -8.49 eV/atom
**Volume**: 11.7 A^3/atom

Entry 10:
A relaxed structure of ZrAg2W, computed with GGA-PBEsol.

a b c (Å): 3.5644 3.5644 5.5270
angles (deg): 90.00 90.00 90.00
Closest atoms and distances in Å follow each position.
Space group P4/mmm (No. 123)
Asymmetric unit:
Zr  0.0000  0.0000  0.0000  2 W 2.76, 8 Ag 2.89
Ag  0.5000  0.5000  0.2568  2 Ag 2.69-2.84, 4 W 2.86, 4 Zr 2.89
W  0.0000  0.0000  0.5000  2 Zr 2.76, 8 Ag 2.86

**Formation energy from the elements**: 514 meV/atom
**Magnetization**: 0.00 μB per cell
**Final energy**: -6.87 eV/atom
**Volume**: 17.6 A^3/atom

Entry 11:
A relaxed structure of YZn2FeMo, computed with GGA-PBEsol.

a b c (Å): 5.0218 5.0218 4.7029
angles (deg): 90.00 90.00 90.00
Closest atoms and distances in Å follow each position.
Space group P4/mmm (No. 123)
Asymmetric unit:
Y  0.0000  0.0000  0.0000  2 Mo 2.35, 4 Zn 2.51
Zn  0.0000  0.5000  0.0000  2 Y 2.51
Fe  0.5000  0.5000  0.5000  8 Zn 3.44, 4 Mo 3.55
Mo  0.0000  0.0000  0.5000  2 Y 2.35

**Polymorph energy (0 for the lowest one)**: 783 meV per atom
**Formation energy from the elements**: 2077 meV/atom
**Magnetization**: 2.85 μB per cell
**Final energy**: -4.07 eV/atom
**Volume**: 23.7 A^3/atom

Entry 12:
A relaxed structure of HfCo2Pd, computed with GGA-PBEsol.

a b c (Å): 5.9926 5.9926 5.9926
angles (deg): 90.00 90.00 90.00
Closest atoms and distances in Å follow each position.
Space group Fm-3m (No. 225)
Asymmetric unit:
Hf  0.0000  0.0000  0.0000  8 Co 2.59
Co  0.2500  0.2500  0.2500  4 Hf 2.59, 4 Pd 2.59
Pd  0.0000  0.0000  0.5000  8 Co 2.59

**Formation energy from the elements**: -202 meV/atom
**Magnetization**: 5.81 μB per cell
**Final energy**: -8.19 eV/atom
**Volume**: 13.4 A^3/atom

Entry 13:
A relaxed structure of TcAsIr4, computed with GGA-PBEsol.

a b c (Å): 7.2434 7.2434 7.2434
angles (deg): 90.00 90.00 90.00
Closest atoms and distances in Å follow each position.
Space group F-43m (No. 216)
Asymmetric unit:
Tc  0.0000  0.0000  0.0000  12 Ir 3.00, 4 As 3.14
As  0.2500  0.2500  0.2500  12 Ir 3.00, 4 Tc 3.14
Ir  0.1254  0.1254  0.6254  6 Ir 2.55-2.57

**Formation energy from the elements**: 748 meV/atom
**Magnetization**: 9.07 μB per cell
**Final energy**: -8.53 eV/atom
**Volume**: 15.8 A^3/atom

Entry 14:
A relaxed structure of Fe2PtSe, computed with GGA-PBEsol.

a b c (Å): 2.8596 4.2000 4.5932
angles (deg): 90.00 94.89 90.00
Closest atoms and distances in Å follow each position.
Space group Pm (No. 6)
Asymmetric unit:
Fe  0.0000  0.0000  0.0000  2 Fe 2.53, 4 Se 2.54-2.68, 3 Pt 2.58-2.67
Fe  0.0139  0.5000  0.3074  2 Se 2.43-2.49, 2 Fe 2.53, 4 Pt 2.65-2.69
Pt  0.5532  0.0000  0.4871  7 Fe 2.58-2.69, 2 Se 2.78, 2 Pt 2.86
Se  0.4377  0.5000  0.8696  6 Fe 2.43-2.68

**Magnetization**: 5.48 μB per cell
**Final energy**: -7.07 eV/atom
**Volume**: 13.7 A^3/atom

Entry 15:
A relaxed structure of TaNiN2O, computed with GGA-PBEsol.

a b c (Å): 3.6341 3.6341 3.4843
angles (deg): 90.00 90.00 90.00
Closest atoms and distances in Å follow each position.
Space group P4/mmm (No. 123)
Asymmetric unit:
Ta  0.0000  0.0000  0.0000  8 N 2.52, 4 O 2.57
Ni  0.5000  0.5000  0.5000  2 O 1.74, 4 N 1.82
N  0.0000  0.5000  0.5000  2 Ni 1.82
O  0.5000  0.5000  0.0000  2 Ni 1.74

**Magnetization**: 0.00 μB per cell
**Final energy**: -8.05 eV/atom
**Volume**: 9.2 A^3/atom

Entry 16:
A relaxed structure of ScPW, computed with GGA-PBEsol.

a b c (Å): 3.1729 3.1729 9.5953
angles (deg): 90.00 90.00 90.00
Closest atoms and distances in Å follow each position.
Space group I4mm (No. 107)
Asymmetric unit:
Sc  0.0000  0.0000  0.0000  5 W 2.86-2.96, 5 P 2.90-2.96, 4 Sc 3.17
P  0.0000  0.0000  0.3089  4 W 2.47
W  0.0000  0.0000  0.7019  4 P 2.47

**Formation energy from the elements**: -492 meV/atom
**Magnetization**: 0.00 μB per cell
**Final energy**: -9.23 eV/atom
**Volume**: 16.1 A^3/atom

Entry 17:
A relaxed structure of MnCu2As, computed with GGA-PBEsol.

a b c (Å): 2.9982 3.5095 5.0283
angles (deg): 90.00 90.00 90.00
Closest atoms and distances in Å follow each position.
Space group Pmmm (No. 47)
Asymmetric unit:
Mn  0.0000  0.0000  0.0000  2 As 2.51, 8 Cu 2.61
Cu  0.5000  0.5000  0.2432  2 Cu 2.45-2.58, 4 Mn 2.61, 4 As 2.64
As  0.0000  0.0000  0.5000  2 Mn 2.51, 8 Cu 2.64

**Formation energy from the elements**: 144 meV/atom
**Magnetization**: 3.64 μB per cell
**Final energy**: -5.74 eV/atom
**Volume**: 13.2 A^3/atom

Entry 18:
A relaxed structure of Cs2TiCu2Se4, computed with GGA-PBEsol.

a b c (Å): 5.7704 5.7704 14.2028
angles (deg): 90.00 90.00 90.00
Closest atoms and distances in Å follow each position.
Space group P4_2/mcm (No. 132)
Asymmetric unit:
Cs  0.2425  0.2425  0.0000  8 Se 3.63-3.64, 1 Cs 3.96
Ti  0.5000  0.5000  0.2500  4 Se 2.40
Cu  0.0000  0.5000  0.2500  4 Se 2.44
Se  0.2565  0.2565  0.3444  1 Ti 2.40, 2 Cu 2.44

**Magnetization**: 0.00 μB per cell
**Final energy**: -4.78 eV/atom
**Volume**: 26.3 A^3/atom

Entry 19:
A relaxed structure of Ba5Bi3O11, computed with GGA-PBEsol.

a b c (Å): 9.1065 8.7464 8.8458
angles (deg): 90.00 90.00 90.00
Closest atoms and distances in Å follow each position.
Space group Amm2 (No. 38)
Asymmetric unit:
Ba  0.0000  0.0000  0.0000  3 O 2.42-2.46
Ba  0.2774  0.2459  0.2753  5 O 2.67-2.96
Bi  0.0000  0.0000  0.4917  5 O 2.08-2.27
Bi  0.5000  0.0000  0.0252  6 O 2.14-2.17
Bi  0.5000  0.0000  0.5199  6 O 2.22-2.30
O  0.0000  0.0000  0.7270  1 Bi 2.08
O  0.0000  0.2126  0.3674  1 Bi 2.16
O  0.2495  0.0000  0.4884  2 Bi 2.27-2.30
O  0.2660  0.0000  0.0465  1 Bi 2.14
O  0.5000  0.0000  0.2689  2 Bi 2.16-2.22
O  0.5000  0.0000  0.7795  2 Bi 2.17-2.30
O  0.5000  0.2451  0.0152  2 Bi 2.15-2.23

**Magnetization**: 0.01 μB per cell
**Final energy**: -6.22 eV/atom
**Volume**: 18.5 A^3/atom

Entry 20:
A relaxed structure of HfCSe2N, computed with GGA-PBEsol.

a b c (Å): 5.1406 5.1406 4.0078
angles (deg): 90.00 90.00 90.00
Closest atoms and distances in Å follow each position.
Space group P4/mmm (No. 123)
Asymmetric unit:
Hf  0.0000  0.0000  0.0000  2 N 2.00
C  0.5000  0.5000  0.5000  8 Se 3.26, 4 N 3.63
Se  0.0000  0.5000  0.0000  2 Hf 2.57
N  0.0000  0.0000  0.5000  2 Hf 2.00

**Magnetization**: 1.87 μB per cell
**Final energy**: -5.93 eV/atom
**Volume**: 21.2 A^3/atom